A.
Density functional theory data (PBE) for an optimized crystal structure of TaSn3C.

Cell: 5.384 5.384 5.384 Å, 90.00 90.00 90.00°
Last column: magnetic moment on the atom in μB.
Fractional positions:
C: 0.500 0.500 0.500  0.98
Sn: 0.000 0.500 0.000  0.02
Sn: 0.000 0.000 0.500  0.01
Sn: 0.500 0.000 0.000  0.01
Ta: 0.000 0.000 0.000  -0.03

Values from the calculation:
**Magnetic moment**: 2.083 μB/cell
**Density of states at the Fermi level**: 9.32 states/eV/cell


B.
Density functional theory data (PBE) for an optimized crystal structure of TaSn3C.

Cell: 4.657 4.657 4.657 Å, 90.00 90.00 90.00°
Fractional positions:
C: 0.000 0.000 0.000
Sn: 0.000 0.500 0.000
Sn: 0.000 0.000 0.500
Sn: 0.500 0.000 0.000
Ta: 0.500 0.500 0.500

Values from the calculation:
**Magnetic moment**: 0.000 μB/cell
**Density of states at the Fermi level**: 4.38 states/eV/cell


Relative energies, unit eV/atom: A 0.473; B 0.000


A.
Density functional theory data (PBE) for an optimized crystal structure of TcSnC3.

Cell: 4.083 4.083 4.083 Å, 90.00 90.00 90.00°
Fractional positions:
C: 0.000 0.500 0.000
C: 0.000 0.000 0.500
C: 0.500 0.000 0.000
Sn: 0.500 0.500 0.500
Tc: 0.000 0.000 0.000

Values from the calculation:
**Magnetic moment**: 0.000 μB/cell
**Density of states at the Fermi level**: 3.40 states/eV/cell


B.
Density functional theory data (PBE) for an optimized crystal structure of TcSnC3.

Cell: 4.161 4.161 4.161 Å, 90.00 90.00 90.00°
Fractional positions:
C: 0.000 0.500 0.000
C: 0.000 0.000 0.500
C: 0.500 0.000 0.000
Sn: 0.000 0.000 0.000
Tc: 0.500 0.500 0.500

Values from the calculation:
**Magnetic moment**: 0.000 μB/cell
**Density of states at the Fermi level**: 7.35 states/eV/cell


Relative energies, unit eV/atom: A 0.000; B 1.564


A.
Density functional theory data (PBE) for an optimized crystal structure of Sn2TeC.

Cell: 6.712 6.712 6.473 Å, 58.77 58.77 90.00°
Fractional positions:
C: 0.500 0.500 0.000
C: 0.250 0.750 0.500
Te: 0.000 0.000 0.000
Te: 0.750 0.250 0.500
Sn: 0.531 0.125 0.250
Sn: 0.219 0.625 0.250
Sn: 0.375 0.469 0.750
Sn: 0.875 0.781 0.750

Values from the calculation:
**Magnetic moment**: 0.000 μB/cell
**Density of states at the Fermi level**: 3.23 states/eV/cell


B.
Density functional theory data (PBE) for an optimized crystal structure of Sn2TeC.

Cell: 5.061 5.061 5.061 Å, 60.00 60.00 60.00°
Fractional positions:
C: 0.000 0.000 0.000
Te: 0.500 0.500 0.500
Sn: 0.250 0.250 0.250
Sn: 0.750 0.750 0.750

Values from the calculation:
**Magnetic moment**: 0.000 μB/cell
**Density of states at the Fermi level**: 2.61 states/eV/cell


Relative energies, unit eV/atom: A 0.000; B 0.736